A plane-wave DFT calculation with PBE-GGA was carried out for an optimized crystal structure of Ag4TeBr.

The structure in extended XYZ format:
```
12
Lattice="3.682 -5.661 0.000 3.682 5.661 0.000 -3.281 0.000 6.424" Properties=species:S:1:pos:R:3 pbc="T T T"
Ag -0.127 3.016 5.686
Ag 0.391 1.328 3.394
Ag 2.571 3.016 3.950
Ag 2.031 -1.328 0.182
Ag 2.053 1.328 6.242
Ag 1.513 -3.016 2.474
Ag 3.693 -1.328 3.030
Ag 4.211 -3.016 0.738
Te 2.862 1.216 1.606
Te 1.222 -1.216 4.818
Br 2.862 5.172 1.606
Br 1.222 -5.172 4.818
```

## Properties
As for the space-group type: No. 15. Its distance to the lowest polymorph of the same formula is 0 meV/atom. The value obtained for the calculated total energy is -33.0 eV per cell.